A plane-wave DFT calculation with PBE was carried out for an optimized crystal structure of LiCaPrTeO6.

Summary:
The calculation puts the formation energy from raw total energies at -2.306 eV per atom. The space group is Pc. The value obtained for the size of the total moment is 0.0 μB per formula unit.

Unit cell a=5.783 b=5.554 c=9.590 alpha=55.19 beta=90.00 gamma=90.00
Fractional positions:
O1 0.289 0.141 0.263
O2 0.068 0.670 0.546
O3 0.780 0.859 0.238
O4 0.975 0.237 0.446
O5 0.536 0.766 0.553
O6 0.464 0.766 0.053
O7 0.025 0.237 0.946
O8 0.220 0.859 0.738
O9 0.441 0.332 0.453
O10 0.932 0.670 0.046
O11 0.711 0.141 0.763
O12 0.559 0.332 0.953
Te1 0.257 0.999 0.501
Te2 0.743 0.999 0.001
Li1 0.266 0.501 0.998
Li2 0.734 0.501 0.498
Pr1 0.811 0.732 0.753
Pr2 0.189 0.732 0.253
Ca1 0.306 0.264 0.750
Ca2 0.694 0.264 0.250